1.
VASP calculation (GGA-PBE) on a relaxed structure of AgHgPtBr6.

Properties
The calculation puts the formation energy from raw total energies at -0.29 eV/atom.

Lattice parameters (Å, degrees): 6.862 6.862 11.759 90.00 90.00 90.00
Fractional positions:
Ag: 0.000 0.000 0.000
Ag: 0.500 0.500 0.500
Hg: 0.000 0.000 0.688
Hg: 0.500 0.500 0.188
Pt: 0.000 0.000 0.345
Pt: 0.500 0.500 0.845
Br: 0.174 0.174 0.189
Br: 0.177 0.177 0.497
Br: 0.207 0.207 0.847
Br: 0.293 0.707 0.347
Br: 0.323 0.677 0.997
Br: 0.326 0.674 0.689
Br: 0.674 0.326 0.689
Br: 0.677 0.323 0.997
Br: 0.707 0.293 0.347
Br: 0.793 0.793 0.847
Br: 0.823 0.823 0.497
Br: 0.826 0.826 0.189

=====

2.
VASP calculation (GGA-PBE) on a relaxed structure of CePm3Ho6.

Properties
As for the relative energy among the computed polymorphs: 0.118 eV per atom. As for the formation energy: 0.160 eV per atom.

Lattice parameters (Å, degrees): 10.933 10.933 6.200 90.00 90.00 119.30
Fractional positions:
Ce: 0.205 0.795 0.500
Ce: 0.795 0.205 0.000
Pm: 0.059 0.284 0.308
Pm: 0.284 0.059 0.808
Pm: 0.388 0.612 0.424
Pm: 0.612 0.388 0.924
Pm: 0.716 0.941 0.308
Pm: 0.941 0.716 0.808
Ho: 0.038 0.456 0.734
Ho: 0.049 0.951 0.268
Ho: 0.279 0.721 0.994
Ho: 0.291 0.382 0.894
Ho: 0.382 0.291 0.394
Ho: 0.456 0.038 0.234
Ho: 0.544 0.962 0.734
Ho: 0.618 0.709 0.894
Ho: 0.709 0.618 0.394
Ho: 0.721 0.279 0.494
Ho: 0.951 0.049 0.768
Ho: 0.962 0.544 0.234

=====

3.
VASP calculation (GGA-PBE) on a relaxed structure of MgGaGe2.

Properties
As for the relative energy among the computed polymorphs: 0.045 eV per atom. As for the formation energy: 0.069 eV per atom.

Lattice parameters (Å, degrees): 6.043 6.043 6.043 102.46 102.46 124.65
Fractional positions:
Mg: 0.000 0.000 0.000
Mg: 0.750 0.250 0.500
Ga: 0.250 0.750 0.500
Ga: 0.500 0.500 0.000
Ge: 0.163 0.625 0.038
Ge: 0.375 0.413 0.538
Ge: 0.587 0.125 0.962
Ge: 0.875 0.837 0.462

=====

Repeat the second record exactly.
VASP calculation (GGA-PBE) on a relaxed structure of CePm3Ho6.

Properties
As for the relative energy among the computed polymorphs: 0.118 eV per atom. As for the formation energy: 0.160 eV per atom.

Lattice parameters (Å, degrees): 10.933 10.933 6.200 90.00 90.00 119.30
Fractional positions:
Ce: 0.205 0.795 0.500
Ce: 0.795 0.205 0.000
Pm: 0.059 0.284 0.308
Pm: 0.284 0.059 0.808
Pm: 0.388 0.612 0.424
Pm: 0.612 0.388 0.924
Pm: 0.716 0.941 0.308
Pm: 0.941 0.716 0.808
Ho: 0.038 0.456 0.734
Ho: 0.049 0.951 0.268
Ho: 0.279 0.721 0.994
Ho: 0.291 0.382 0.894
Ho: 0.382 0.291 0.394
Ho: 0.456 0.038 0.234
Ho: 0.544 0.962 0.734
Ho: 0.618 0.709 0.894
Ho: 0.709 0.618 0.394
Ho: 0.721 0.279 0.494
Ho: 0.951 0.049 0.768
Ho: 0.962 0.544 0.234